1.
DFT (PBE) results for an optimized crystal structure of HfTaP3.

Structure (CIF):
```
data_HfTaP3
_chemical_formula_sum 'Hf1 Ta1 P3'
_symmetry_space_group_name_H-M 'P m -3 m'
_symmetry_Int_Tables_number 221
_symmetry_space_group_name_Hall '-P 4 2 3'
_cell_length_a 4.817
_cell_length_b 4.817
_cell_length_c 4.817
_cell_angle_alpha 90.00
_cell_angle_beta 90.00
_cell_angle_gamma 90.00
loop_
_atom_site_label
_atom_site_type_symbol
_atom_site_fract_x
_atom_site_fract_y
_atom_site_fract_z
Hf1 Hf 0.000 0.000 0.000
Ta1 Ta 0.500 0.500 0.500
P1 P 0.000 0.000 0.500
```

relative energy among the computed polymorphs	578	meV per atom
energy relative to the elements	967	meV/atom

***

2.
DFT (PBE) results for an optimized crystal structure of BeZnCdCuIr.

Structure (CIF):
```
data_BeZnCdCuIr
_chemical_formula_sum 'Be2 Zn2 Cd2 Cu2 Ir2'
_symmetry_space_group_name_H-M 'C 1 m 1'
_symmetry_Int_Tables_number 8
_symmetry_space_group_name_Hall 'C -2y'
_cell_length_a 9.057
_cell_length_b 3.014
_cell_length_c 6.760
_cell_angle_alpha 90.00
_cell_angle_beta 130.51
_cell_angle_gamma 90.00
loop_
_atom_site_label
_atom_site_type_symbol
_atom_site_fract_x
_atom_site_fract_y
_atom_site_fract_z
Be1 Be 0.000 0.000 0.000
Zn1 Zn 0.211 0.000 0.730
Cd1 Cd 0.364 0.000 0.499
Cu1 Cu 0.037 0.500 0.290
Ir1 Ir 0.210 0.500 0.039
```

relative energy among the computed polymorphs	120	meV per atom
energy relative to the elements	-35	meV/atom

***

3.
DFT (PBE) results for an optimized crystal structure of Cs2RbCdI6.

Structure (CIF):
```
data_Cs2RbCdI6
_chemical_formula_sum 'Cs8 Rb4 Cd4 I24'
_symmetry_space_group_name_H-M 'F m -3 m'
_symmetry_Int_Tables_number 225
_symmetry_space_group_name_Hall '-F 4 2 3'
_cell_length_a 12.900
_cell_length_b 12.900
_cell_length_c 12.900
_cell_angle_alpha 90.00
_cell_angle_beta 90.00
_cell_angle_gamma 90.00
loop_
_atom_site_label
_atom_site_type_symbol
_atom_site_fract_x
_atom_site_fract_y
_atom_site_fract_z
Cs1 Cs 0.250 0.250 0.250
Rb1 Rb 0.000 0.000 0.000
Cd1 Cd 0.000 0.000 0.500
I1 I 0.000 0.000 0.269
```

formation energy (no corrections)	-0.98	eV per atom

***

4.
DFT (PBE) results for an optimized crystal structure of K2SiAs.

Structure (CIF):
```
data_K2SiAs
_chemical_formula_sum 'K2 Si1 As1'
_symmetry_space_group_name_H-M 'P 1 m 1'
_symmetry_Int_Tables_number 6
_symmetry_space_group_name_Hall 'P -2y'
_cell_length_a 5.346
_cell_length_b 3.875
_cell_length_c 6.605
_cell_angle_alpha 90.00
_cell_angle_beta 113.80
_cell_angle_gamma 90.00
loop_
_atom_site_label
_atom_site_type_symbol
_atom_site_fract_x
_atom_site_fract_y
_atom_site_fract_z
K1 K 0.000 0.000 0.000
K2 K 0.287 0.500 0.574
Si1 Si 0.705 0.000 0.408
As1 As 0.581 0.500 0.165
```

relative energy among the computed polymorphs	0	meV per atom
formation energy (no corrections)	-0.24	eV per atom

***

5.
DFT (PBE) results for an optimized crystal structure of Pr3Sm4Te8.

Structure (CIF):
```
data_Pr3Sm4Te8
_chemical_formula_sum 'Pr6 Sm8 Te16'
_symmetry_space_group_name_H-M 'C 1 2/m 1'
_symmetry_Int_Tables_number 12
_symmetry_space_group_name_Hall '-C 2y'
_cell_length_a 12.639
_cell_length_b 12.643
_cell_length_c 8.931
_cell_angle_alpha 90.00
_cell_angle_beta 134.93
_cell_angle_gamma 90.00
loop_
_atom_site_label
_atom_site_type_symbol
_atom_site_fract_x
_atom_site_fract_y
_atom_site_fract_z
Pr1 Pr 0.000 0.000 0.000
Pr2 Pr 0.250 0.250 0.000
Sm1 Sm 0.000 0.500 0.000
Sm2 Sm 0.000 0.500 0.500
Sm3 Sm 0.250 0.250 0.500
Te1 Te 0.000 0.246 0.500
Te2 Te 0.000 0.252 0.000
Te3 Te 0.248 0.000 0.504
Te4 Te 0.248 0.000 0.992
```

formation energy (no corrections)	-1.45	eV per atom

***

6.
DFT (PBE) results for an optimized crystal structure of Dy2InPd3.

Structure (CIF):
```
data_Dy2InPd3
_chemical_formula_sum 'Dy4 In2 Pd6'
_symmetry_space_group_name_H-M 'I m m m'
_symmetry_Int_Tables_number 71
_symmetry_space_group_name_Hall '-I 2 2'
_cell_length_a 4.635
_cell_length_b 5.528
_cell_length_c 10.388
_cell_angle_alpha 90.00
_cell_angle_beta 90.00
_cell_angle_gamma 90.00
loop_
_atom_site_label
_atom_site_type_symbol
_atom_site_fract_x
_atom_site_fract_y
_atom_site_fract_z
Dy1 Dy 0.000 0.000 0.184
In1 In 0.000 0.000 0.500
Pd1 Pd 0.000 0.500 0.137
Pd2 Pd 0.000 0.500 0.500
```

energy relative to the elements	-633	meV/atom

***

no.,calculated volume (A^3/atom),magnetization (μB per formula unit)
1,22.36,0.00
2,14.03,0.00
3,53.67,1.00
4,31.30,0.00
5,33.68,0.00
6,22.18,0.00